CaRu2Au, optimized geometry, DFT PBE-GGA; symmetry = Cmmm, No. 65; energy above the lowest structure with this stoichiometry = 315 meV per atom
1.0
2.865 -4.305 0.000
2.865 4.305 0.000
0.000 0.000 2.761
Ca Ru Au
1 2 1
Direct
0.000 0.000 0.000 Ca
0.000 0.500 0.500 Ru
0.500 0.000 0.500 Ru
0.500 0.500 0.000 Au

***

Pa3Mn2Ge3, optimized geometry, DFT PBE-GGA; symmetry = Pnma, No. 62
1.0
7.742 0.000 0.000
0.000 14.357 0.000
0.000 0.000 5.595
Pa Mn Ge
12 8 12
Direct
0.036 0.109 0.118 Pa
0.036 0.391 0.118 Pa
0.176 0.250 0.633 Pa
0.324 0.750 0.133 Pa
0.464 0.609 0.618 Pa
0.464 0.891 0.618 Pa
0.536 0.109 0.382 Pa
0.536 0.391 0.382 Pa
0.676 0.250 0.867 Pa
0.824 0.750 0.367 Pa
0.964 0.609 0.882 Pa
0.964 0.891 0.882 Pa
0.097 0.608 0.395 Mn
0.097 0.892 0.395 Mn
0.403 0.108 0.895 Mn
0.403 0.392 0.895 Mn
0.597 0.608 0.105 Mn
0.597 0.892 0.105 Mn
0.903 0.108 0.605 Mn
0.903 0.392 0.605 Mn
0.178 0.750 0.628 Ge
0.192 0.040 0.615 Ge
0.192 0.460 0.615 Ge
0.308 0.540 0.115 Ge
0.308 0.960 0.115 Ge
0.322 0.250 0.128 Ge
0.678 0.750 0.872 Ge
0.692 0.040 0.885 Ge
0.692 0.460 0.885 Ge
0.808 0.540 0.385 Ge
0.808 0.960 0.385 Ge
0.822 0.250 0.372 Ge

***

Sc2AgHg, optimized geometry, DFT PBE-GGA; symmetry = P4mm, No. 99
1.0
3.638 0.000 0.000
0.000 3.638 0.000
0.000 0.000 6.457
Sc Ag Hg
2 1 1
Direct
0.000 0.000 0.000 Sc
0.500 0.500 0.297 Sc
0.000 0.000 0.515 Ag
0.500 0.500 0.774 Hg

***

LaPaN2, optimized geometry, DFT PBE-GGA; formation energy from raw total energies = -1.348 eV/atom; symmetry = R-3m, No. 166; energy above the lowest structure with this stoichiometry = 232 meV per atom
1.0
1.841 1.063 6.792
-1.841 1.063 6.792
0.000 -2.125 6.792
La Pa N
1 1 2
Direct
0.000 0.000 0.000 La
0.500 0.500 0.500 Pa
0.119 0.119 0.119 N
0.881 0.881 0.881 N

***

KRe, optimized geometry, DFT PBE-GGA; symmetry = R-3m, No. 166; energy above the lowest structure with this stoichiometry = 565 meV per atom
1.0
1.390 0.802 6.028
-1.390 0.802 6.028
0.000 -1.605 6.028
K Re
1 1
Direct
0.000 0.000 0.000 K
0.500 0.500 0.500 Re

***

LiAl2As, optimized geometry, DFT PBE-GGA; symmetry = Cm, No. 8
1.0
4.650 -1.434 0.000
4.650 1.434 0.000
-0.462 0.000 5.143
Li Al As
1 2 1
Direct
0.000 0.000 0.000 Li
0.258 0.258 0.713 Al
0.517 0.517 0.512 Al
0.738 0.738 0.193 As

***

Number 1: density 10.71 Mg/m³, DOS at the Fermi energy 4.77 states/eV per cell, energy -22.2 eV per cell. Number 2: density 10.90 Mg/m³, DOS at the Fermi energy 51.67 states/eV per cell, energy -254.4 eV per cell. Number 3: density 7.74 Mg/m³, DOS at the Fermi energy 3.06 states/eV per cell, energy -16.8 eV per cell. Number 4: density 8.29 Mg/m³, DOS at the Fermi energy 1.22 states/eV per cell, energy -36.5 eV per cell. Number 5: density 9.28 Mg/m³, DOS at the Fermi energy 0.61 states/eV per cell, energy -10.8 eV per cell. Number 6: density 3.29 Mg/m³, DOS at the Fermi energy 1.36 states/eV per cell, energy -14.5 eV per cell.